Here is a geometry-optimized KTcGe structure from OQMD. Energies are from PBE-GGA.

```
data_KTcGe
_symmetry_space_group_name_H-M 'F -4 3 m'
_symmetry_Int_Tables_number 216
_symmetry_space_group_name_Hall 'F -4 2 3'
_cell_length_a 7.042
_cell_length_b 7.042
_cell_length_c 7.042
_cell_angle_alpha 90.00
_cell_angle_beta 90.00
_cell_angle_gamma 90.00
loop_
_atom_site_label
_atom_site_type_symbol
_atom_site_fract_x
_atom_site_fract_y
_atom_site_fract_z
K1 K 0.000 0.000 0.000
Tc1 Tc 0.250 0.250 0.250
Ge1 Ge 0.250 0.250 0.750
```

ΔE to the lowest computed polymorph = 800 meV/atom
uncorrected energy = -40.88 eV per cell